Record 1
Computed, not measured: a crystal of CaSn3Hg relaxed with PBEsol at the SCAN level of DFT.

Results
**Energy of formation from the pure elements**: 67.0 kJ/mol of atoms
**Space group**: Pm-3m, No. 221

Unit cell a=5.693 b=5.693 c=5.693 alpha=90.00 beta=90.00 gamma=90.00
Fractional coordinates of all 5 atoms:
Ca (0.000, 0.000, 0.000)
Hg (0.500, 0.500, 0.500)
Sn (0.000, 0.500, 0.000)
Sn (0.000, 0.000, 0.500)
Sn (0.500, 0.000, 0.000)

=====

Record 2
Computed, not measured: a crystal of CaLaY2 relaxed with PBEsol at the SCAN level of DFT.

Results
**Energy of formation from the pure elements**: 10.1 kJ/mol of atoms
**E above lowest polymorph**: 0.77 kcal/mol of atoms
**Space group**: Cmmm, No. 65

Unit cell a=3.615 b=6.226 c=6.226 alpha=109.39 beta=90.00 gamma=90.00
Fractional coordinates of all 4 atoms:
Y (0.000, 0.500, 0.000)
Y (0.000, 0.000, 0.500)
Ca (0.500, 0.000, 0.000)
La (0.500, 0.500, 0.500)

=====

Record 3
Computed, not measured: a crystal of TcAg2P relaxed with PBEsol at the SCAN level of DFT.

Results
**Energy of formation from the pure elements**: 49.3 kJ/mol of atoms
**Space group**: F-43m, No. 216

Unit cell a=4.366 b=4.366 c=4.366 alpha=60.00 beta=60.00 gamma=60.00
Fractional coordinates of all 4 atoms:
Ag (0.000, 0.000, 0.000)
Ag (0.750, 0.750, 0.750)
P (0.500, 0.500, 0.500)
Tc (0.250, 0.250, 0.250)

=====

Record 4
Computed, not measured: a crystal of BaTe2Se relaxed with PBEsol at the SCAN level of DFT.

Results
**Formation energy without anion corrections**: -1009 meV per atom
**Space group**: Pm, No. 6

Unit cell a=4.092 b=4.517 c=7.367 alpha=107.09 beta=90.00 gamma=90.00
Fractional coordinates of all 4 atoms:
Ba (0.000, 0.498, 0.529)
Se (0.500, 0.094, 0.734)
Te (0.000, 0.020, 0.992)
Te (0.500, 0.888, 0.246)

=====

Record 5
Computed, not measured: a crystal of ReTc2Sb relaxed with PBEsol at the SCAN level of DFT.

Results
**Formation energy without anion corrections**: 317 meV per atom
**Space group**: P4mm, No. 99

Unit cell a=3.029 b=3.029 c=6.756 alpha=90.00 beta=90.00 gamma=90.00
Fractional coordinates of all 4 atoms:
Re (0.000, 0.000, 0.487)
Sb (0.500, 0.500, 0.755)
Tc (0.000, 0.000, 0.009)
Tc (0.500, 0.500, 0.250)

=====

Record 6
Computed, not measured: a crystal of ZrB3Pd relaxed with PBEsol at the SCAN level of DFT.

Results
**Energy of formation from the pure elements**: 86.4 kJ/mol of atoms
**E above lowest polymorph**: 0.00 kcal/mol of atoms
**Space group**: Pm-3m, No. 221

Unit cell a=3.999 b=3.999 c=3.999 alpha=90.00 beta=90.00 gamma=90.00
Fractional coordinates of all 5 atoms:
B (0.000, 0.500, 0.000)
B (0.000, 0.000, 0.500)
B (0.500, 0.000, 0.000)
Zr (0.500, 0.500, 0.500)
Pd (0.000, 0.000, 0.000)

=====

Record 7
Computed, not measured: a crystal of KMg2Se relaxed with PBEsol at the SCAN level of DFT.

Results
**Formation energy without anion corrections**: -541 meV per atom
**Space group**: Cm, No. 8

Unit cell a=4.012 b=4.017 c=9.192 alpha=102.40 beta=90.00 gamma=119.96
Fractional coordinates of all 4 atoms:
K (0.770, 0.541, 0.307)
Mg (0.983, 0.965, 0.951)
Mg (0.229, 0.457, 0.687)
Se (0.519, 0.037, 0.555)

=====

Record 8
Computed, not measured: a crystal of TmCdAg2 relaxed with PBEsol at the SCAN level of DFT.

Results
**Energy of formation from the pure elements**: -29.8 kJ/mol of atoms
**Space group**: Fm-3m, No. 225

Unit cell a=4.797 b=4.797 c=4.797 alpha=60.00 beta=60.00 gamma=60.00
Fractional coordinates of all 4 atoms:
Tm (0.500, 0.500, 0.500)
Ag (0.250, 0.250, 0.250)
Ag (0.750, 0.750, 0.750)
Cd (0.000, 0.000, 0.000)

=====

Record 9
Computed, not measured: a crystal of CuBiS2 relaxed with PBEsol at the SCAN level of DFT.

Results
**Formation energy without anion corrections**: -172 meV per atom
**Space group**: I-42d, No. 122

Unit cell a=5.834 b=5.834 c=6.894 alpha=115.03 beta=115.03 gamma=90.00
Fractional coordinates of all 8 atoms:
S (0.810, 0.375, 0.250)
S (0.440, 0.875, 0.250)
S (0.625, 0.560, 0.750)
S (0.125, 0.190, 0.750)
Bi (0.250, 0.750, 0.500)
Bi (0.000, 0.000, 0.000)
Cu (0.750, 0.250, 0.500)
Cu (0.500, 0.500, 0.000)

=====

Record 10
Computed, not measured: a crystal of Sb2PbAu relaxed with PBEsol at the SCAN level of DFT.

Results
**Formation energy without anion corrections**: 59 meV per atom
**Space group**: Immm, No. 71

Unit cell a=3.667 b=5.289 c=6.067 alpha=115.84 beta=107.59 gamma=90.00
Fractional coordinates of all 4 atoms:
Au (0.500, 0.000, 0.000)
Pb (0.000, 0.500, 0.000)
Sb (0.792, 0.792, 0.583)
Sb (0.208, 0.208, 0.417)

=====

Record 11
Computed, not measured: a crystal of CaLaBr2 relaxed with PBEsol at the SCAN level of DFT.

Results
**Formation energy without anion corrections**: -1386 meV per atom
**E above lowest polymorph**: 0.14 kcal/mol of atoms
**Space group**: C2/m, No. 12

Unit cell a=4.002 b=3.994 c=7.884 alpha=104.80 beta=90.00 gamma=120.07
Fractional coordinates of all 4 atoms:
Ca (0.000, 0.000, 0.500)
Br (0.742, 0.485, 0.728)
Br (0.258, 0.515, 0.272)
La (0.500, 0.000, 0.000)

=====

Record 12
Computed, not measured: a crystal of Al2IrBr relaxed with PBEsol at the SCAN level of DFT.

Results
**Formation energy without anion corrections**: 488 meV per atom
**E above lowest polymorph**: 13.56 kcal/mol of atoms
**Space group**: Pmmm, No. 47

Unit cell a=2.944 b=4.684 c=4.774 alpha=90.00 beta=90.00 gamma=90.00
Fractional coordinates of all 4 atoms:
Ir (0.000, 0.500, 0.500)
Al (0.000, 0.000, 0.000)
Al (0.500, 0.000, 0.500)
Br (0.500, 0.500, 0.000)

=====

no.,size of the total moment (μB/atom)
1,0.000
2,0.009
3,0.000
4,0.000
5,0.000
6,0.000
7,0.000
8,0.000
9,0.000
10,0.000
11,0.000
12,0.001